An optimized crystal structure of TaAs2RhBr, computed with PBE-GGA.

The uncorrected energy comes out at -5.25 eV/atom. The magnetic moment comes out at 0.268 μB per atom. The calculation puts the uncorrected formation energy at 784.3 meV/atom. Its excess energy over the best structure of this formula in the dataset is 0.00 eV/f.u.

The structure belongs to space group P4/mmm (No. 123); the cell edges are 4.978, 4.978 and 5.075 Å and the angles 90.00°, 90.00° and 90.00°. The distinct sites, in fractional coordinates, are Ta at (0.000, 0.000, 0.000), As at (0.000, 0.500, 0.000), Rh at (0.500, 0.500, 0.500) and Br at (0.000, 0.000, 0.500).